No. 1
Below is a geometry-optimized Rb2MnPtBr6 structure, with properties calculated at the PBE level.

Its uncorrected formation energy is -905 kJ/mol of formula units. The calculation puts the energy at -0.1344 hartree per atom.

The structure belongs to space group I4/mmm (No. 139); the cell edges are 7.5179, 7.5179 and 11.7740 Å and the angles 90.00°, 90.00° and 90.00°. The inequivalent atoms are Rb at (0.0000, 0.5000, 0.2500), Mn at (0.0000, 0.0000, 0.0000), Pt at (0.0000, 0.0000, 0.5000), Br at (0.0000, 0.0000, 0.2081) and Br at (0.2331, 0.2331, 0.5000).



No. 2
Below is a geometry-optimized MnSnPt2Br structure, with properties calculated at the PBE level.

Its uncorrected formation energy is 452 kJ/mol of formula units. The calculation puts the energy at -0.1634 hartree per atom.

The structure belongs to space group P4/mmm (No. 123); the cell edges are 5.2293, 5.2293 and 5.4730 Å and the angles 90.00°, 90.00° and 90.00°. The inequivalent atoms are Mn at (0.0000, 0.0000, 0.0000), Sn at (0.0000, 0.0000, 0.5000), Pt at (0.0000, 0.5000, 0.5000) and Br at (0.5000, 0.5000, 0.0000).



No. 3
Below is a geometry-optimized Sr2MnPtBr structure, with properties calculated at the PBE level.

Its uncorrected formation energy is 25 kJ/mol of formula units. The calculation puts the energy at -0.1469 hartree per atom.

The structure belongs to space group P4/mmm (No. 123); the cell edges are 5.8618, 5.8618 and 5.2545 Å and the angles 90.00°, 90.00° and 90.00°. The inequivalent atoms are Sr at (0.0000, 0.5000, 0.0000), Mn at (0.0000, 0.0000, 0.5000), Pt at (0.5000, 0.5000, 0.0000) and Br at (0.5000, 0.5000, 0.5000).



No. 4
Below is a geometry-optimized MnVPt2Br structure, with properties calculated at the PBE level.

Its uncorrected formation energy is 734 kJ/mol of formula units. The calculation puts the energy at -0.1796 hartree per atom.

The structure belongs to space group P4/mmm (No. 123); the cell edges are 4.7502, 4.7502 and 4.2347 Å and the angles 90.00°, 90.00° and 90.00°. The inequivalent atoms are Mn at (0.0000, 0.0000, 0.0000), V at (0.5000, 0.5000, 0.0000), Pt at (0.0000, 0.5000, 0.5000) and Br at (0.0000, 0.0000, 0.5000).